1.
First-principles (PBE-GGA) data for Nd8Y6Cd after structural relaxation, as listed in Alexandria via LeMat-Bulk.

The density of states at the Fermi level comes out at 21.84 states/eV/cell. The formation energy from the elements is 1.35 eV per formula unit.

The structure belongs to space group P-3 (No. 147); the cell edges are 9.4609, 9.4609 and 6.5135 Å and the angles 90.00°, 90.00° and 120.00°. The distinct sites, in fractional coordinates, are Nd at (0.0426, 0.2712, 0.3184), Nd at (0.3333, 0.6667, 0.3412), Y at (0.0968, 0.4491, 0.8300) and Cd at (0.0000, 0.0000, 0.0000).

=====

2.
First-principles (PBE-GGA) data for YHo4Bi2 after structural relaxation, as listed in Alexandria via LeMat-Bulk.

The density of states at the Fermi level comes out at 12.43 states/eV/cell. The formation energy from the elements is 2.50 eV per formula unit.

The structure belongs to space group I4/mmm (No. 139); the cell edges are 5.328, 5.328 and 16.701 Å and the angles 90.00°, 90.00° and 90.00°. The distinct sites, in fractional coordinates, are Y at (0.000, 0.000, 0.000), Ho at (0.000, 0.000, 0.182), Ho at (0.000, 0.500, 0.000) and Bi at (0.000, 0.000, 0.366).

=====

3.
First-principles (PBE-GGA) data for SrZrTe2O8 after structural relaxation, as listed in Alexandria via LeMat-Bulk.

For the energy relative to the elements, uncorrected, the calculation gives -1.72 eV/atom. The density of states at the Fermi level comes out at 4.31 states/eV/cell.

The structure belongs to space group P-3m1 (No. 164); the cell edges are 6.1379, 6.1379 and 6.9937 Å and the angles 90.00°, 90.00° and 120.00°. The distinct sites, in fractional coordinates, are Sr at (0.0000, 0.0000, 0.0000), Zr at (0.0000, 0.0000, 0.5000), Te at (0.3333, 0.6667, 0.7446), O at (0.1501, 0.3002, 0.6974) and O at (0.3333, 0.6667, 0.0054).

=====

4.
First-principles (PBE-GGA) data for MgMnB2 after structural relaxation, as listed in Alexandria via LeMat-Bulk.

The density of states at the Fermi level comes out at 6.21 states/eV/cell. The formation energy from the elements is 1.58 eV per formula unit.

The structure belongs to space group I4_1/amd (No. 141, origin choice 2); the cell edges are 3.716, 3.716 and 14.037 Å and the angles 90.00°, 90.00° and 90.00°. The distinct sites, in fractional coordinates, are Mg at (0.000, 0.250, 0.375), Mn at (0.000, 0.250, 0.875) and B at (0.000, 0.000, 0.000).

=====

5.
First-principles (PBE-GGA) data for CrInW2 after structural relaxation, as listed in Alexandria via LeMat-Bulk.

The density of states at the Fermi level comes out at 11.73 states/eV/cell. The formation energy from the elements is 2.31 eV per formula unit.

The structure belongs to space group R-3m (No. 166, hexagonal axes); the cell edges are 2.9282, 2.9282 and 26.7480 Å and the angles 90.00°, 90.00° and 120.00°. The distinct sites, in fractional coordinates, are Cr at (0.0000, 0.0000, 0.0000), In at (0.0000, 0.0000, 0.5000) and W at (0.0000, 0.0000, 0.2597).

=====

6.
First-principles (PBE-GGA) data for LiAcGe after structural relaxation, as listed in Alexandria via LeMat-Bulk.

The density of states at the Fermi level comes out at 0.07 states/eV/cell. The formation energy from the elements is -1.47 eV per formula unit.

The structure belongs to space group F-43m (No. 216); the cell edges are 7.155, 7.155 and 7.155 Å and the angles 90.00°, 90.00° and 90.00°. The distinct sites, in fractional coordinates, are Li at (0.000, 0.000, 0.000), Ac at (0.000, 0.000, 0.500) and Ge at (0.250, 0.250, 0.250).

=====

7.
First-principles (PBE-GGA) data for TbTl2Hg after structural relaxation, as listed in Alexandria via LeMat-Bulk.

The density of states at the Fermi level comes out at 6.01 states/eV/cell. The formation energy from the elements is 0.06 eV per formula unit.

The structure belongs to space group R3m (No. 160, hexagonal axes); the cell edges are 4.5261, 4.5261 and 19.8197 Å and the angles 90.00°, 90.00° and 120.00°. The distinct sites, in fractional coordinates, are Tb at (0.0000, 0.0000, 0.0000), Tl at (0.0000, 0.0000, 0.4247), Tl at (0.0000, 0.0000, 0.5823) and Hg at (0.0000, 0.0000, 0.1702).

=====

8.
First-principles (PBE-GGA) data for TcAgCl2 after structural relaxation, as listed in Alexandria via LeMat-Bulk.

For the energy relative to the elements, uncorrected, the calculation gives 0.67 eV/atom. The density of states at the Fermi level comes out at 5.59 states/eV/cell.

The structure belongs to space group F-43m (No. 216); the cell edges are 6.848, 6.848 and 6.848 Å and the angles 90.00°, 90.00° and 90.00°. The distinct sites, in fractional coordinates, are Tc at (0.000, 0.000, 0.000), Ag at (0.250, 0.250, 0.250), Cl at (0.000, 0.000, 0.500) and Cl at (0.250, 0.250, 0.750).

=====

9.
First-principles (PBE-GGA) data for Li2HoCd2Hg2 after structural relaxation, as listed in Alexandria via LeMat-Bulk.

The density of states at the Fermi level comes out at 5.24 states/eV/cell. The formation energy from the elements is -2.23 eV per formula unit.

The structure belongs to space group C2/m (No. 12); the cell edges are 8.433, 4.908 and 7.727 Å and the angles 90.00°, 111.81° and 90.00°. The distinct sites, in fractional coordinates, are Li at (0.151, 0.000, 0.451), Ho at (0.000, 0.000, 0.000), Cd at (0.069, 0.500, 0.709) and Hg at (0.226, 0.500, 0.177).

=====

10.
First-principles (PBE-GGA) data for Nd4Dy5Tm3 after structural relaxation, as listed in Alexandria via LeMat-Bulk.

The density of states at the Fermi level comes out at 39.87 states/eV/cell. The formation energy from the elements is 2.75 eV per formula unit.

The structure belongs to space group C2/m (No. 12); the cell edges are 16.126, 5.914 and 9.378 Å and the angles 90.00°, 116.80° and 90.00°. The distinct sites, in fractional coordinates, are Nd at (0.084, 0.000, 0.446), Nd at (0.217, 0.000, 0.881), Dy at (0.000, 0.000, 0.000), Dy at (0.071, 0.500, 0.703), Dy at (0.171, 0.500, 0.384), Tm at (0.000, 0.500, 0.000) and Tm at (0.212, 0.000, 0.236).

=====

11.
First-principles (PBE-GGA) data for SrMoW2 after structural relaxation, as listed in Alexandria via LeMat-Bulk.

The density of states at the Fermi level comes out at 2.74 states/eV/cell. The formation energy from the elements is 3.14 eV per formula unit.

The structure belongs to space group Pm (No. 6); the cell edges are 2.959, 4.268 and 7.123 Å and the angles 90.00°, 101.84° and 90.00°. The distinct sites, in fractional coordinates, are Sr at (0.000, 0.000, 0.000), Mo at (0.203, 0.500, 0.663), W at (0.468, 0.000, 0.500) and W at (0.748, 0.500, 0.337).

=====

12.
First-principles (PBE-GGA) data for TlCuOs2 after structural relaxation, as listed in Alexandria via LeMat-Bulk.

The density of states at the Fermi level comes out at 4.93 states/eV/cell. The formation energy from the elements is 3.81 eV per formula unit.

The structure belongs to space group Pmmm (No. 47); the cell edges are 2.793, 4.008 and 5.898 Å and the angles 90.00°, 90.00° and 90.00°. The distinct sites, in fractional coordinates, are Tl at (0.000, 0.000, 0.000), Cu at (0.000, 0.000, 0.500) and Os at (0.500, 0.500, 0.298).